Material: TcC
Method: DFT, GGA-PBE
State: optimized geometry

a = 2.8674 Å, b = 2.8674 Å, c = 5.6257 Å
α = 90.00°, β = 90.00°, γ = 120.00°
With the nearest neighbours (Å) after each atom.
Atoms (fractional coordinates):
Tc (0.0000, 0.0000, 0.0000)  6 C 2.17
Tc (0.0000, 0.0000, 0.5000)  6 C 2.17
C (0.3333, 0.6667, 0.2500)  6 Tc 2.17
C (0.6667, 0.3333, 0.7500)  6 Tc 2.17

- energy of formation from the pure elements (meV per atom) = 220
- energy above the lowest structure with this stoichiometry (eV per atom) = 0.000
- energy (eV for the cell shown) = -38.300
- symmetry = P6_3/mmc, No. 194
- total moment (μB per atom) = 0.000

***

Material: Tc5C4
Method: DFT, GGA-PBE
State: optimized geometry

a = 6.1865 Å, b = 6.1865 Å, c = 5.7415 Å
α = 90.00°, β = 90.00°, γ = 120.00°
With the nearest neighbours (Å) after each atom.
Atoms (fractional coordinates):
Tc (0.0000, 0.2529, 0.2500)  5 C 2.05-2.24
Tc (0.0000, 0.7471, 0.7500)  5 C 2.05-2.24
Tc (0.2529, 0.0000, 0.2500)  5 C 2.05-2.24
Tc (0.2529, 0.2529, 0.7500)  5 C 2.05-2.24
Tc (0.3333, 0.6667, 0.0000)  6 C 2.35
Tc (0.3333, 0.6667, 0.5000)  6 C 2.35
Tc (0.6667, 0.3333, 0.0000)  6 C 2.35
Tc (0.6667, 0.3333, 0.5000)  6 C 2.35
Tc (0.7471, 0.0000, 0.7500)  5 C 2.05-2.24
Tc (0.7471, 0.7471, 0.2500)  5 C 2.05-2.24
C (0.0000, 0.0000, 0.0000)  6 Tc 2.12
C (0.0000, 0.0000, 0.5000)  6 Tc 2.12
C (0.0000, 0.4157, 0.7500)  3 Tc 2.05-2.24
C (0.0000, 0.5843, 0.2500)  3 Tc 2.05-2.24
C (0.4157, 0.0000, 0.7500)  3 Tc 2.05-2.24
C (0.4157, 0.4157, 0.2500)  3 Tc 2.05-2.24
C (0.5843, 0.0000, 0.2500)  3 Tc 2.05-2.24
C (0.5843, 0.5843, 0.7500)  3 Tc 2.05-2.24

- energy of formation from the pure elements (meV per atom) = 566
- energy above the lowest structure with this stoichiometry (eV per atom) = 0.000
- energy (eV for the cell shown) = -167.263
- symmetry = P6_3/mcm, No. 193
- total moment (μB per atom) = 0.000